DFT (GGA-PBE) results for crystalline In4Te2I3 at its relaxed geometry.

The structure in CIF format:
```
data_In4Te2I3
_chemical_formula_sum 'In4 Te2 I3'
_space_group_name_H-M_alt 'P 1'
_space_group_IT_number 1
_cell_length_a 8.079
_cell_length_b 8.079
_cell_length_c 9.493
_cell_angle_alpha 103.53
_cell_angle_beta 103.53
_cell_angle_gamma 33.53
loop_
_space_group_symop_operation_xyz
'x,y,z'
loop_
_atom_site_label
_atom_site_type_symbol
_atom_site_fract_x
_atom_site_fract_y
_atom_site_fract_z
_atom_site_occupancy
In1 In 0.030 0.030 0.175 1
In2 In 0.310 0.310 0.383 1
In3 In 0.690 0.690 0.617 1
In4 In 0.970 0.970 0.825 1
Te1 Te 0.319 0.319 0.699 1
Te2 Te 0.681 0.681 0.301 1
I1 I 0.000 0.000 0.500 1
I2 I 0.365 0.365 0.107 1
I3 I 0.635 0.635 0.893 1
```

## Properties
Crystal system: monoclinic
Total moment: 0.000 μB/cell
SG: C2/m, No. 12
E_form (uncorrected): -323 meV per atom